[1]
The following is a GGA-PBE calculation of crystalline Ho7Th2Sc2 at its relaxed geometry, from Alexandria.

a b c (Å): 6.1604 6.1604 9.7308
angles (deg): 91.31 91.31 113.61
Positions (direct):
1 Ho 0.0000 0.0000 0.0000
2 Ho 0.1678 0.5797 0.1493
3 Ho 0.2979 0.2979 0.7074
4 Ho 0.4203 0.8322 0.8507
5 Ho 0.5797 0.1678 0.1493
6 Ho 0.7021 0.7021 0.2926
7 Ho 0.8322 0.4203 0.8507
8 Th 0.1885 0.1885 0.3709
9 Th 0.8115 0.8115 0.6291
10 Sc 0.2707 0.7293 0.5000
11 Sc 0.7293 0.2707 0.5000

Properties
As for the total DFT energy (no corrections): -58.00 eV for the cell shown.


[2]
The following is a GGA-PBE calculation of crystalline YZrP at its relaxed geometry, from Alexandria.

a b c (Å): 4.5622 4.5622 4.5622
angles (deg): 60.00 60.00 60.00
Positions (direct):
1 Y 0.0000 0.0000 0.0000
2 Zr 0.5000 0.5000 0.5000
3 P 0.7500 0.7500 0.7500

Properties
As for the total DFT energy (no corrections): -22.58 eV for the cell shown.


[3]
The following is a GGA-PBE calculation of crystalline CdIr2Os at its relaxed geometry, from Alexandria.

a b c (Å): 4.8181 4.8181 4.9528
angles (deg): 98.52 98.52 33.40
Positions (direct):
1 Cd 0.0000 0.0000 0.0000
2 Ir 0.2420 0.2420 0.7304
3 Ir 0.7580 0.7580 0.2696
4 Os 0.5000 0.5000 0.5000

Properties
As for the total DFT energy (no corrections): -28.54 eV for the cell shown.